Computed, not measured: a relaxed structure of ThCdH8Ru2 at the PBE level of DFT.

```
data_ThCdH8Ru2
_space_group_name_H-M_alt 'C 1 2/m 1'
_space_group_IT_number 12
_space_group_name_Hall '-C 2y'
_cell_length_a 8.409
_cell_length_b 4.473
_cell_length_c 6.255
_cell_angle_alpha 90.00
_cell_angle_beta 113.37
_cell_angle_gamma 90.00
loop_
_atom_site_label
_atom_site_type_symbol
_atom_site_fract_x
_atom_site_fract_y
_atom_site_fract_z
_atom_site_occupancy
Th1 Th 0.000 0.000 0.000 1
Cd1 Cd 0.000 0.500 0.500 1
H1 H 0.068 0.500 0.160 1
H2 H 0.193 0.246 0.837 1
H3 H 0.215 0.000 0.384 1
Ru1 Ru 0.222 0.000 0.656 1
```

Total magnetization: 0.00 μB/atom
DFT total energy: -111.28 eV for the cell shown